P.
Material: Ac3Si4Rh2
Method: DFT, PBE
State: optimized geometry

Cell lengths 4.1323, 6.3099, 8.6798 Å; angles 97.38, 90.00, 109.11 degrees
Element x y z (fractional)
Rh1 0.3944 0.7888 0.7248
Si1 0.0496 0.0993 0.3848
Si2 0.7251 0.4503 0.0661
Ac1 0.3309 0.6618 0.3375
Si3 0.9504 0.9007 0.6152
Si4 0.2749 0.5497 0.9339
Ac2 0.0000 0.0000 0.0000
Ac3 0.6691 0.3382 0.6625
Rh2 0.6056 0.2112 0.2752

Properties
DOS(E_F)   6.01 states/eV/f.u.
Calculated density   7.83 g/cm3


Q.
Material: Ac3Si4Rh2
Method: DFT, PBE
State: optimized geometry

Cell lengths 4.2520, 6.3830, 8.5142 Å; angles 107.34, 90.00, 109.46 degrees
Element x y z (fractional)
Ac1 0.0000 0.0000 0.0000
Ac2 0.6038 0.2077 0.6894
Si1 0.8776 0.7553 0.6026
Rh1 0.2974 0.5947 0.6390
Si2 0.1224 0.2447 0.3974
Ac3 0.3962 0.7923 0.3106
Si3 0.7213 0.4426 0.0750
Si4 0.2787 0.5574 0.9250
Rh2 0.7026 0.4053 0.3610

Properties
DOS(E_F)   4.45 states/eV/f.u.
Calculated density   8.03 g/cm3


Winner for stability: P


P.
Material: AcSi2Rh
Method: DFT, PBE
State: optimized geometry

Cell lengths 3.3163, 3.3163, 7.0474 Å; angles 90.00, 90.00, 90.00 degrees
Element x y z (fractional)
Si1 0.0000 0.0000 0.1771
Ac1 0.5000 0.5000 0.5000
Rh1 0.5000 0.5000 0.0000
Si2 0.0000 0.0000 0.8229

Properties
DOS(E_F)   2.41 states/eV/f.u.
Calculated density   8.27 g/cm3


Q.
Material: AcSi2Rh
Method: DFT, PBE
State: optimized geometry

Cell lengths 4.1624, 4.1624, 6.0163 Å; angles 69.76, 69.76, 60.00 degrees
Element x y z (fractional)
Si1 0.2044 0.2044 0.3869
Ac1 0.0000 0.0000 0.0000
Rh1 0.5000 0.5000 0.5000
Si2 0.7956 0.7956 0.6131

Properties
DOS(E_F)   2.00 states/eV/f.u.
Calculated density   7.75 g/cm3


R.
Material: AcSi2Rh
Method: DFT, PBE
State: optimized geometry

Cell lengths 4.5800, 4.5873, 4.5873 Å; angles 95.65, 90.00, 90.00 degrees
Element x y z (fractional)
Rh1 0.5000 0.3816 0.6184
Si1 0.5000 0.5132 0.1192
Si2 0.5000 0.8808 0.4868
Ac1 0.0000 0.0043 0.9957

Properties
DOS(E_F)   2.44 states/eV/f.u.
Calculated density   6.68 g/cm3


S.
Material: AcSi2Rh
Method: DFT, PBE
State: optimized geometry

Cell lengths 4.4248, 4.1836, 9.1734 Å; angles 103.18, 90.00, 90.00 degrees
Element x y z (fractional)
Ac1 0.0000 0.1443 0.2886
Si1 0.5000 0.0000 0.0000
Rh1 0.5000 0.4249 0.8499
Ac2 0.0000 0.8557 0.7114
Si2 0.0000 0.5000 0.0000
Si3 0.5000 0.2877 0.5754
Rh2 0.5000 0.5751 0.1501
Si4 0.5000 0.7123 0.4246

Properties
DOS(E_F)   1.46 states/eV/f.u.
Calculated density   7.75 g/cm3


Winner for stability: Q


P.
Material: Ac2Si3Rh2
Method: DFT, PBE
State: optimized geometry

Cell lengths 4.0344, 6.1087, 7.4079 Å; angles 119.93, 90.00, 109.28 degrees
Element x y z (fractional)
Si1 0.5000 0.0000 0.0000
Ac1 0.1348 0.2696 0.7596
Rh1 0.8700 0.7400 0.7838
Si2 0.3465 0.6929 0.5683
Ac2 0.8652 0.7304 0.2404
Rh2 0.1300 0.2600 0.2162
Si3 0.6535 0.3071 0.4317

Properties
DOS(E_F)   4.99 states/eV/f.u.
Calculated density   8.45 g/cm3


Q.
Material: Ac2Si3Rh2
Method: DFT, PBE
State: optimized geometry

Cell lengths 4.5038, 7.0136, 9.5798 Å; angles 90.00, 103.60, 90.00 degrees
Element x y z (fractional)
Si1 0.4405 0.9262 0.8810
Rh1 0.6930 0.9550 0.3861
Si2 0.2234 0.7500 0.4468
Ac1 0.1602 0.2500 0.3203
Rh2 0.6930 0.5450 0.3861
Si3 0.4405 0.5738 0.8810
Ac2 0.9431 0.2500 0.8862
Ac3 0.8398 0.7500 0.6797
Rh3 0.3070 0.0450 0.6139
Si4 0.5595 0.4262 0.1190
Si5 0.5595 0.0738 0.1190
Rh4 0.3070 0.4550 0.6139
Si6 0.7766 0.2500 0.5532
Ac4 0.0569 0.7500 0.1138

Properties
DOS(E_F)   4.11 states/eV/f.u.
Calculated density   8.40 g/cm3


Winner for stability: P


P.
Material: AcSmRh2
Method: DFT, PBE
State: optimized geometry

Cell lengths 5.1036, 5.1036, 5.1036 Å; angles 60.00, 60.00, 60.00 degrees
Element x y z (fractional)
Sm1 0.5000 0.5000 0.5000
Rh1 0.7500 0.7500 0.7500
Rh2 0.2500 0.2500 0.2500
Ac1 0.0000 0.0000 0.0000

Properties
DOS(E_F)   4.34 states/eV/f.u.
Calculated density   10.30 g/cm3


Q.
Material: AcSmRh2
Method: DFT, PBE
State: optimized geometry

Cell lengths 3.5885, 3.5885, 7.2729 Å; angles 90.00, 90.00, 90.00 degrees
Element x y z (fractional)
Ac1 0.5000 0.5000 0.5000
Sm1 0.5000 0.5000 0.0000
Rh1 0.0000 0.0000 0.2280
Rh2 0.0000 0.0000 0.7720

Properties
DOS(E_F)   3.26 states/eV/f.u.
Calculated density   10.34 g/cm3


R.
Material: AcSmRh2
Method: DFT, PBE
State: optimized geometry

Cell lengths 3.9978, 4.3051, 5.9666 Å; angles 90.00, 109.63, 90.00 degrees
Element x y z (fractional)
Sm1 0.7195 0.0000 0.9782
Rh1 0.1699 0.5000 0.8804
Ac1 0.4419 0.5000 0.4216
Rh2 0.9997 0.0000 0.5378

Properties
DOS(E_F)   2.05 states/eV/f.u.
Calculated density   10.01 g/cm3


S.
Material: AcSmRh2
Method: DFT, PBE
State: optimized geometry

Cell lengths 4.0849, 4.0849, 7.5382 Å; angles 74.28, 74.28, 60.00 degrees
Element x y z (fractional)
Rh1 0.0813 0.0813 0.7562
Rh2 0.2524 0.2524 0.2428
Sm1 0.6690 0.6690 0.9930
Ac1 0.4974 0.4974 0.5079

Properties
DOS(E_F)   0.64 states/eV/f.u.
Calculated density   9.36 g/cm3


Winner for stability: R


P.
Material: Ac2SnRh3
Method: DFT, PBE
State: optimized geometry

Cell lengths 4.4911, 4.4911, 17.5832 Å; angles 90.00, 90.00, 120.00 degrees
Element x y z (fractional)
Ac1 0.0000 0.0000 0.3876
Rh1 0.6667 0.3333 0.2500
Ac2 0.0000 0.0000 0.8876
Ac3 0.0000 0.0000 0.6125
Rh2 0.3333 0.6667 0.4987
Sn1 0.3333 0.6667 0.2500
Rh3 0.6667 0.3333 0.5013
Rh4 0.3333 0.6667 0.0013
Rh5 0.3333 0.6667 0.7500
Sn2 0.6667 0.3333 0.7500
Rh6 0.6667 0.3333 0.9987
Ac4 0.0000 0.0000 0.1124

Properties
DOS(E_F)   8.17 states/eV/f.u.
Calculated density   9.53 g/cm3


Q.
Material: Ac2SnRh3
Method: DFT, PBE
State: optimized geometry

Cell lengths 6.2541, 6.2541, 8.8910 Å; angles 109.60, 109.60, 92.64 degrees
Element x y z (fractional)
Sn1 0.3334 0.3334 0.6668
Rh1 0.1654 0.1654 0.3308
Rh2 0.1675 0.6649 0.8324
Sn2 0.6666 0.6666 0.3332
Ac1 0.7525 0.7525 0.0000
Rh3 0.8346 0.8346 0.6692
Ac2 0.2500 0.7500 0.5000
Ac3 0.7500 0.2500 0.5000
Rh4 0.6649 0.1675 0.8324
Rh5 0.3351 0.8325 0.1676
Rh6 0.8325 0.3351 0.1676
Ac4 0.2475 0.2475 0.0000

Properties
DOS(E_F)   5.77 states/eV/f.u.
Calculated density   9.64 g/cm3


Winner for stability: P


P.
Material: Ac7Sn2Rh2
Method: DFT, PBE
State: optimized geometry

Cell lengths 4.6509, 9.8353, 9.8353 Å; angles 63.43, 76.32, 76.32 degrees
Element x y z (fractional)
Sn1 0.7290 0.8560 0.6861
Ac1 0.3926 0.7119 0.5029
Ac2 0.1215 0.1681 0.5890
Rh1 0.5000 0.3513 0.6487
Ac3 0.8249 0.0472 0.3031
Ac4 0.6074 0.4971 0.2881
Rh2 0.0000 0.7973 0.2027
Sn2 0.2710 0.3139 0.1440
Ac5 0.8785 0.4110 0.8319
Ac6 0.1751 0.6969 0.9528
Ac7 0.5000 0.0031 0.9969

Properties
DOS(E_F)   12.73 states/eV/f.u.
Calculated density   8.73 g/cm3


Q.
Material: Ac7Sn2Rh2
Method: DFT, PBE
State: optimized geometry

Cell lengths 7.4993, 7.5852, 7.4993 Å; angles 90.00, 109.11, 90.00 degrees
Element x y z (fractional)
Ac1 0.0000 0.0000 0.0000
Ac2 0.5000 0.2388 0.5000
Ac3 0.5000 0.7612 0.5000
Ac4 0.0000 0.2548 0.5000
Sn1 0.8307 0.5000 0.8307
Ac5 0.5000 0.2548 0.0000
Rh1 0.2883 0.0000 0.7117
Ac6 0.0000 0.7452 0.5000
Ac7 0.5000 0.7452 0.0000
Sn2 0.1693 0.5000 0.1693
Rh2 0.7117 0.0000 0.2883

Properties
DOS(E_F)   10.91 states/eV/f.u.
Calculated density   8.37 g/cm3


Winner for stability: P


P.
Material: Ac2Sn5Rh3
Method: DFT, PBE
State: optimized geometry

Cell lengths 4.6391, 7.4788, 13.8148 Å; angles 90.00, 99.67, 90.00 degrees
Element x y z (fractional)
Ac1 0.4739 0.7651 0.9478
Rh1 0.6076 0.5125 0.2152
Rh2 0.0520 0.9792 0.1040
Sn1 0.8755 0.7547 0.7509
Sn2 0.1245 0.2547 0.2491
Ac2 0.1730 0.7234 0.3460
Sn3 0.9496 0.1009 0.8992
Rh3 0.7755 0.7136 0.5511
Sn4 0.7059 0.4187 0.4119
Sn5 0.5960 0.8846 0.1919
Sn6 0.2894 0.5121 0.5787
Sn7 0.4040 0.3846 0.8081
Sn8 0.0504 0.6009 0.1008
Rh4 0.2245 0.2136 0.4489
Sn9 0.7106 0.0121 0.4213
Sn10 0.2941 0.9187 0.5881
Ac3 0.8270 0.2234 0.6540
Rh5 0.9480 0.4792 0.8960
Ac4 0.5261 0.2651 0.0522
Rh6 0.3924 0.0125 0.7848

Properties
DOS(E_F)   5.01 states/eV/f.u.
Calculated density   9.53 g/cm3


Q.
Material: Ac2Sn5Rh3
Method: DFT, PBE
State: optimized geometry

Cell lengths 6.5562, 9.2252, 9.2252 Å; angles 74.06, 69.19, 69.19 degrees
Element x y z (fractional)
Rh1 0.1388 0.2518 0.4705
Rh2 0.8612 0.7482 0.5295
Ac1 0.8589 0.4103 0.8720
Ac2 0.1411 0.5897 0.1280
Rh3 0.3612 0.5295 0.7482
Sn1 0.4093 0.2514 0.9300
Sn2 0.2500 0.5000 0.5000
Rh4 0.6388 0.4705 0.2518
Rh5 0.2500 0.0000 0.0000
Sn3 0.9093 0.9300 0.2514
Sn4 0.9772 0.7728 0.7728
Sn5 0.7500 0.5000 0.5000
Ac3 0.3589 0.8720 0.4103
Sn6 0.0907 0.0700 0.7486
Sn7 0.5907 0.7486 0.0700
Rh6 0.7500 0.0000 0.0000
Sn8 0.4772 0.7728 0.7728
Sn9 0.5228 0.2272 0.2272
Sn10 0.0228 0.2272 0.2272
Ac4 0.6411 0.1280 0.5897

Properties
DOS(E_F)   7.44 states/eV/f.u.
Calculated density   9.38 g/cm3


Winner for stability: Q


P.
Material: AcSn3Rh2
Method: DFT, PBE
State: optimized geometry

Cell lengths 4.5116, 9.1573, 10.9352 Å; angles 106.95, 90.00, 104.26 degrees
Element x y z (fractional)
Ac1 0.8446 0.6891 0.2959
Rh1 0.4841 0.9683 0.2291
Rh2 0.1989 0.3978 0.1169
Ac2 0.0000 0.0000 0.0000
Sn1 0.5000 0.0000 0.5000
Rh3 0.8011 0.6022 0.8831
Sn2 0.3361 0.6722 0.0540
Rh4 0.3611 0.7222 0.5596
Sn3 0.6308 0.2615 0.1910
Sn4 0.3692 0.7385 0.8090
Sn5 0.0453 0.0907 0.3502
Rh5 0.5159 0.0317 0.7709
Sn6 0.6639 0.3278 0.9460
Sn7 0.9547 0.9093 0.6498
Sn8 0.7788 0.5576 0.6162
Rh6 0.6389 0.2778 0.4404
Ac3 0.1554 0.3109 0.7041
Sn9 0.2212 0.4424 0.3838

Properties
DOS(E_F)   3.29 states/eV/f.u.
Calculated density   9.41 g/cm3


Q.
Material: AcSn3Rh2
Method: DFT, PBE
State: optimized geometry

Cell lengths 6.8245, 6.8245, 8.1801 Å; angles 65.35, 65.35, 60.00 degrees
Element x y z (fractional)
Ac1 0.2196 0.2196 0.3413
Rh1 0.5000 0.5000 0.0000
Sn1 0.7431 0.7431 0.2608
Rh2 0.0000 0.5000 0.0000
Rh3 0.5000 0.0000 0.0000
Sn2 0.7471 0.2569 0.7392
Sn3 0.7431 0.2529 0.2608
Sn4 0.2569 0.7471 0.7392
Sn5 0.2569 0.2569 0.7392
Rh4 0.0000 0.0000 0.0000
Sn6 0.2529 0.7431 0.2608
Ac2 0.7804 0.7804 0.6587

Properties
DOS(E_F)   4.69 states/eV/f.u.
Calculated density   9.06 g/cm3


Winner for stability: P


P.
Material: Ac2Sn2Rh3
Method: DFT, PBE
State: optimized geometry

Cell lengths 7.7229, 7.7229, 7.7229 Å; angles 109.47, 109.47, 109.47 degrees
Element x y z (fractional)
Rh1 0.7500 0.4785 0.2285
Rh2 0.9785 0.2285 0.2500
Ac1 0.9893 0.5000 0.0000
Ac2 0.5107 0.0107 0.0107
Rh3 0.2500 0.0215 0.2715
Rh4 0.5215 0.2715 0.7500
Rh5 0.7285 0.2500 0.4785
Sn1 0.4199 0.5000 0.0000
Sn2 0.5000 0.9199 0.5000
Rh6 0.7715 0.7500 0.0215
Ac3 0.0000 0.0000 0.4893
Ac4 0.5000 0.4893 0.5000
Sn3 0.0000 0.0000 0.9199
Sn4 0.0801 0.5801 0.5801

Properties
DOS(E_F)   4.82 states/eV/f.u.
Calculated density   9.37 g/cm3


Q.
Material: Ac2Sn2Rh3
Method: DFT, PBE
State: optimized geometry

Cell lengths 4.4858, 5.7259, 7.2387 Å; angles 86.19, 108.05, 90.00 degrees
Element x y z (fractional)
Rh1 0.0000 0.0000 0.0000
Rh2 0.7221 0.3709 0.4442
Ac1 0.6364 0.8722 0.2728
Ac2 0.3636 0.1278 0.7272
Sn1 0.1102 0.3691 0.2204
Rh3 0.2779 0.6291 0.5558
Sn2 0.8898 0.6309 0.7796

Properties
DOS(E_F)   3.46 states/eV/f.u.
Calculated density   9.42 g/cm3


Winner for stability: Q